{"formula": "WBr2F2", "functional": "GGA+U", "state": "optimized geometry", "lattice_angstrom": [[5.8977, 0.0000, 0.0000], [0.0000, 5.8977, 0.0000], [0.0000, 0.0000, 5.7898]], "species": ["Br", "Br", "Br", "Br", "F", "F", "F", "F", "W", "W"], "fractional_positions": [[0.6730, 0.8270, 0.5000], [0.1730, 0.6730, 0.5000], [0.3270, 0.1730, 0.5000], [0.8270, 0.3270, 0.5000], [0.1922, 0.3078, 0.0000], [0.3078, 0.8078, 0.0000], [0.8078, 0.6922, 0.0000], [0.6922, 0.1922, 0.0000], [0.5000, 0.5000, 0.0000], [0.0000, 0.0000, 0.0000]], "space_group": "P4/mbm, No. 127", "dft_energy_ev_per_cell": -38.324}